# 1
# CaIn2Fe2, optimized geometry, DFT PBE
data_CaIn2Fe2
_cell_length_a 3.861
_cell_length_b 3.861
_cell_length_c 13.740
_cell_angle_alpha 90.00
_cell_angle_beta 90.00
_cell_angle_gamma 90.00
_space_group_name_H-M_alt 'I 4/m m m'
_space_group_IT_number 139
_space_group_name_Hall '-I 4 2'
loop_
_atom_site_label
_atom_site_type_symbol
_atom_site_fract_x
_atom_site_fract_y
_atom_site_fract_z
Ca1 Ca 0.000 0.000 0.000
In1 In 0.000 0.000 0.384
Fe1 Fe 0.000 0.500 0.250
# Uncorrected energy = -23.72 eV per formula unit
# Magnetic moment = 4.30 μB per formula unit
# Energy of formation = 136 meV per atom

=====

# 2
# Ga2FeTc, optimized geometry, DFT PBE
data_Ga2FeTc
_cell_length_a 3.117
_cell_length_b 3.117
_cell_length_c 5.643
_cell_angle_alpha 90.00
_cell_angle_beta 90.00
_cell_angle_gamma 90.00
_space_group_name_H-M_alt 'P 4/m m m'
_space_group_IT_number 123
_space_group_name_Hall '-P 4 2'
loop_
_atom_site_label
_atom_site_type_symbol
_atom_site_fract_x
_atom_site_fract_y
_atom_site_fract_z
Ga1 Ga 0.000 0.000 0.244
Fe1 Fe 0.500 0.500 0.000
Tc1 Tc 0.500 0.500 0.500
# Uncorrected energy = -25.02 eV per formula unit
# Magnetic moment = 2.68 μB per formula unit
# Energy of formation = -35 meV per atom

=====

# 3
# Pr2Sm3Y4, optimized geometry, DFT PBE
data_Pr2Sm3Y4
_cell_length_a 16.780
_cell_length_b 11.782
_cell_length_c 6.144
_cell_angle_alpha 90.00
_cell_angle_beta 96.94
_cell_angle_gamma 90.00
_space_group_name_H-M_alt 'C 1 2/c 1'
_space_group_IT_number 15
loop_
_space_group_symop_operation_xyz
'x,y,z'
'-x,-y,-z'
'-x,y,-z+1/2'
'x,-y,z+1/2'
'x+1/2,y+1/2,z'
'-x+1/2,-y+1/2,-z'
'-x+1/2,y+1/2,-z+1/2'
'x+1/2,-y+1/2,z+1/2'
loop_
_atom_site_label
_atom_site_type_symbol
_atom_site_fract_x
_atom_site_fract_y
_atom_site_fract_z
Pr1 Pr 0.107 0.121 0.282
Sm1 Sm 0.000 0.143 0.750
Sm2 Sm 0.164 0.349 0.588
Y1 Y 0.061 0.390 0.041
Y2 Y 0.232 0.110 0.869
# Uncorrected energy = -48.76 eV per formula unit
# Magnetic moment = 0.00 μB per formula unit
# Energy of formation = 90 meV per atom

=====

| no. | E above lowest polymorph (eV per formula unit) |
| --- | --- |
| 1 | 0.00 |
| 2 | 0.13 |
| 3 | 0.18 |